Entry 1:
VASP calculation (PBE) on a relaxed structure of KDyGeSe3.

Calculated volume: 366 Å³/cell
Calculated total energy: -0.1676 hartree per atom

Cell: 7.677 7.677 11.375 Å, 90.00 90.00 146.89°
Positions (direct):
Ge (0.958, 0.042, 0.250)
Ge (0.042, 0.958, 0.750)
K (0.757, 0.243, 0.750)
K (0.243, 0.757, 0.250)
Se (0.128, 0.872, 0.957)
Se (0.128, 0.872, 0.543)
Se (0.872, 0.128, 0.043)
Se (0.440, 0.560, 0.750)
Se (0.872, 0.128, 0.457)
Se (0.560, 0.440, 0.250)
Dy (0.500, 0.500, 0.000)
Dy (0.500, 0.500, 0.500)

Entry 2:
VASP calculation (PBE) on a relaxed structure of LaDyNi2Ge4.

Calculated volume: 150 Å³/cell
Calculated total energy: -0.2070 hartree per atom

Cell: 4.229 8.678 8.678 Å, 28.15 90.00 90.00°
Positions (direct):
Ge (0.000, 0.253, 0.253)
Ge (0.000, 0.540, 0.540)
Ge (0.500, 0.456, 0.456)
Ge (0.500, 0.752, 0.752)
Ni (0.000, 0.681, 0.681)
Ni (0.500, 0.320, 0.320)
La (0.500, 0.107, 0.107)
Dy (0.000, 0.891, 0.891)

Entry 3:
VASP calculation (PBE) on a relaxed structure of LaDyZn2Ge2.

Offset from the most stable computed form: 0.0 meV per atom
Calculated volume: 260 Å³/cell

Cell: 4.302 4.302 16.244 Å, 90.00 90.00 120.00°
Positions (direct):
Dy (0.000, 0.000, 0.750)
Dy (0.000, 0.000, 0.250)
Zn (0.333, 0.667, 0.345)
Zn (0.667, 0.333, 0.845)
Zn (0.667, 0.333, 0.655)
Zn (0.333, 0.667, 0.155)
Ge (0.333, 0.667, 0.880)
Ge (0.667, 0.333, 0.120)
Ge (0.667, 0.333, 0.380)
Ge (0.333, 0.667, 0.620)
La (0.000, 0.000, 0.000)
La (0.000, 0.000, 0.500)

> calculated volume of number 2 (LaDyNi2Ge4)?

150 Å³/cell

> Among the records above, which one has the highest calculated volume?

KDyGeSe3